1.
Density functional theory data (PBE) for crystalline NaTl3Pb3 at its relaxed geometry.

Output
M_tot: 0.000 μB per atom
ΔE_f: -0.05 eV per atom
SG: P6_3/m, No. 176

Lattice parameters (Å, degrees): 5.738 9.271 9.271 120.00 90.00 90.00
Fractional positions:
Pb (0.250, 0.947, 0.187)
Pb (0.250, 0.239, 0.053)
Pb (0.750, 0.761, 0.947)
Pb (0.750, 0.187, 0.239)
Pb (0.750, 0.053, 0.813)
Pb (0.250, 0.813, 0.761)
Tl (0.750, 0.622, 0.526)
Tl (0.750, 0.904, 0.378)
Tl (0.250, 0.096, 0.622)
Tl (0.250, 0.378, 0.474)
Tl (0.750, 0.474, 0.096)
Tl (0.250, 0.526, 0.904)
Na (0.250, 0.667, 0.333)
Na (0.750, 0.333, 0.667)


2.
Density functional theory data (PBE) for crystalline NaTlPb6 at its relaxed geometry.

Output
M_tot: 0.000 μB per atom
ΔE_f: -0.04 eV per atom
SG: Amm2, No. 38

Lattice parameters (Å, degrees): 5.867 6.962 6.962 119.98 90.00 90.00
Fractional positions:
Pb (0.500, 0.915, 0.085)
Pb (0.000, 0.080, 0.415)
Pb (0.500, 0.915, 0.580)
Pb (0.000, 0.585, 0.920)
Pb (0.500, 0.420, 0.085)
Pb (0.000, 0.585, 0.415)
Na (0.000, 0.083, 0.917)
Tl (0.500, 0.416, 0.584)


3.
Density functional theory data (PBE) for crystalline Na3Tl4Pb at its relaxed geometry.

Output
M_tot: 0.000 μB per atom
ΔE_f: -0.11 eV per atom
SG: Pmma, No. 51

Lattice parameters (Å, degrees): 5.243 8.476 10.493 90.00 90.00 90.00
Fractional positions:
Tl (0.500, 0.749, 0.500)
Tl (0.500, 0.251, 0.000)
Tl (0.999, 0.251, 0.250)
Tl (0.001, 0.749, 0.750)
Tl (0.999, 0.749, 0.250)
Tl (0.500, 0.749, 0.000)
Tl (0.001, 0.251, 0.750)
Tl (0.500, 0.251, 0.500)
Pb (0.000, 0.500, 0.500)
Pb (0.000, 0.500, 0.000)
Na (0.000, 0.000, 0.500)
Na (0.499, 0.000, 0.250)
Na (0.498, 0.500, 0.250)
Na (0.502, 0.500, 0.750)
Na (0.501, 0.000, 0.750)
Na (0.000, 0.000, 0.000)


4.
Density functional theory data (PBE) for crystalline Na4Tl5Pb2 at its relaxed geometry.

Output
M_tot: 0.000 μB per atom
ΔE_f: -0.06 eV per atom
SG: P2/m, No. 10

Lattice parameters (Å, degrees): 3.592 10.261 10.176 119.78 90.00 90.00
Fractional positions:
Tl (0.000, 0.904, 0.822)
Tl (0.000, 0.096, 0.178)
Tl (0.000, 0.500, 0.000)
Tl (0.000, 0.549, 0.684)
Tl (0.000, 0.451, 0.316)
Na (0.500, 0.758, 0.513)
Na (0.500, 0.242, 0.487)
Na (0.500, 0.774, 0.006)
Na (0.500, 0.226, 0.994)
Pb (0.000, 0.120, 0.678)
Pb (0.000, 0.880, 0.322)


5.
Density functional theory data (PBE) for crystalline NaTlPb3 at its relaxed geometry.

Output
M_tot: 0.000 μB per atom
ΔE_f: 0.39 eV per atom
SG: Pm-3m, No. 221

Lattice parameters (Å, degrees): 5.603 5.603 5.603 90.00 90.00 90.00
Fractional positions:
Tl (0.500, 0.500, 0.500)
Pb (0.000, 0.500, 0.000)
Pb (0.000, 0.000, 0.500)
Pb (0.500, 0.000, 0.000)
Na (0.000, 0.000, 0.000)


6.
Density functional theory data (PBE) for crystalline Na3Tl2Pb2 at its relaxed geometry.

Output
M_tot: 0.000 μB per atom
ΔE_f: -0.11 eV per atom
SG: C2/m, No. 12

Lattice parameters (Å, degrees): 5.607 6.728 6.079 98.18 90.00 114.63
Fractional positions:
Tl (0.858, 0.717, 0.420)
Tl (0.142, 0.283, 0.580)
Na (0.712, 0.424, 0.839)
Na (0.000, 0.000, 0.000)
Na (0.288, 0.576, 0.161)
Pb (0.431, 0.862, 0.714)
Pb (0.569, 0.138, 0.286)


7.
Density functional theory data (PBE) for crystalline Na2Tl5Pb3 at its relaxed geometry.

Output
M_tot: 0.000 μB per atom
ΔE_f: 0.03 eV per atom
SG: Ibam, No. 72

Lattice parameters (Å, degrees): 6.659 10.731 10.731 92.15 71.92 71.92
Fractional positions:
Pb (0.250, 0.000, 0.000)
Pb (0.366, 0.490, 0.777)
Pb (0.866, 0.777, 0.490)
Pb (0.750, 0.000, 0.000)
Pb (0.134, 0.223, 0.510)
Pb (0.634, 0.510, 0.223)
Tl (0.612, 0.733, 0.042)
Tl (0.888, 0.958, 0.267)
Tl (0.750, 0.500, 0.500)
Tl (0.494, 0.756, 0.756)
Tl (0.506, 0.244, 0.244)
Tl (0.006, 0.244, 0.244)
Tl (0.112, 0.042, 0.733)
Tl (0.994, 0.756, 0.756)
Tl (0.388, 0.267, 0.958)
Tl (0.250, 0.500, 0.500)
Na (0.372, 0.846, 0.411)
Na (0.128, 0.589, 0.154)
Na (0.872, 0.411, 0.846)
Na (0.628, 0.154, 0.589)


8.
Density functional theory data (PBE) for crystalline NaTlPb at its relaxed geometry.

Output
M_tot: 0.000 μB per atom
ΔE_f: -0.11 eV per atom
SG: C2/m, No. 12

Lattice parameters (Å, degrees): 16.511 8.621 8.621 155.99 155.92 24.08
Fractional positions:
Pb (0.242, 0.008, 0.992)
Pb (0.758, 0.992, 0.008)
Tl (0.804, 0.284, 0.716)
Tl (0.196, 0.716, 0.284)
Na (0.301, 0.282, 0.718)
Na (0.699, 0.718, 0.282)


9.
Density functional theory data (PBE) for crystalline NaTl5Pb2 at its relaxed geometry.

Output
M_tot: 0.000 μB per atom
ΔE_f: -0.04 eV per atom
SG: I4/mmm, No. 139

Lattice parameters (Å, degrees): 5.053 5.053 10.109 104.47 104.47 90.00
Fractional positions:
Na (0.000, 0.000, 0.000)
Pb (0.755, 0.755, 0.511)
Pb (0.245, 0.245, 0.489)
Tl (0.124, 0.624, 0.249)
Tl (0.376, 0.876, 0.751)
Tl (0.500, 0.500, 0.000)
Tl (0.624, 0.124, 0.249)
Tl (0.876, 0.376, 0.751)


10.
Density functional theory data (PBE) for crystalline NaTl7Pb4 at its relaxed geometry.

Output
M_tot: 0.000 μB per atom
ΔE_f: -0.01 eV per atom
SG: P-3m1, No. 164

Lattice parameters (Å, degrees): 5.532 5.532 13.793 90.00 90.00 120.00
Fractional positions:
Tl (0.000, 0.000, 0.249)
Tl (0.000, 0.000, 0.000)
Tl (0.333, 0.667, 0.174)
Tl (0.333, 0.667, 0.422)
Tl (0.667, 0.333, 0.578)
Tl (0.000, 0.000, 0.751)
Tl (0.667, 0.333, 0.826)
Pb (0.333, 0.667, 0.664)
Pb (0.667, 0.333, 0.086)
Pb (0.667, 0.333, 0.336)
Pb (0.333, 0.667, 0.914)
Na (0.000, 0.000, 0.500)


11.
Density functional theory data (PBE) for crystalline Na4Tl3Pb5 at its relaxed geometry.

Output
M_tot: 0.000 μB per atom
ΔE_f: -0.10 eV per atom
SG: P-1, No. 2

Lattice parameters (Å, degrees): 6.950 12.145 13.921 154.12 51.19 135.81
Fractional positions:
Tl (0.000, 0.000, 0.500)
Tl (0.668, 0.229, 0.395)
Tl (0.332, 0.771, 0.605)
Pb (0.500, 0.000, 0.500)
Pb (0.579, 0.271, 0.108)
Pb (0.755, 0.489, 0.991)
Pb (0.421, 0.729, 0.892)
Pb (0.245, 0.511, 0.009)
Na (0.165, 0.213, 0.386)
Na (0.092, 0.288, 0.118)
Na (0.835, 0.787, 0.614)
Na (0.908, 0.712, 0.882)


12.
Density functional theory data (PBE) for crystalline Na5Tl6Pb at its relaxed geometry.

Output
M_tot: 0.000 μB per atom
ΔE_f: -0.11 eV per atom
SG: C2/m, No. 12

Lattice parameters (Å, degrees): 4.862 9.440 9.228 120.76 105.56 90.00
Fractional positions:
Tl (0.833, 0.585, 0.667)
Tl (0.167, 0.917, 0.333)
Tl (0.500, 0.252, 0.000)
Tl (0.500, 0.748, 0.000)
Tl (0.167, 0.415, 0.333)
Tl (0.833, 0.083, 0.667)
Na (0.000, 0.500, 0.000)
Na (0.333, 0.333, 0.665)
Na (0.667, 0.667, 0.335)
Na (0.338, 0.839, 0.678)
Na (0.662, 0.161, 0.322)
Pb (0.000, 0.000, 0.000)


13.
Density functional theory data (PBE) for crystalline Na12Tl2Pb5 at its relaxed geometry.

Output
M_tot: 0.000 μB per atom
ΔE_f: -0.09 eV per atom
SG: C2/m, No. 12

Lattice parameters (Å, degrees): 9.513 8.760 8.182 91.05 90.00 122.89
Fractional positions:
Na (0.839, 0.255, 0.654)
Na (0.089, 0.178, 0.875)
Na (0.452, 0.905, 0.684)
Na (0.661, 0.690, 0.749)
Na (0.029, 0.690, 0.749)
Na (0.911, 0.822, 0.125)
Na (0.583, 0.745, 0.346)
Na (0.548, 0.095, 0.316)
Na (0.339, 0.310, 0.251)
Na (0.971, 0.310, 0.251)
Na (0.417, 0.255, 0.654)
Na (0.161, 0.745, 0.346)
Tl (0.690, 0.000, 0.000)
Tl (0.310, 0.000, 0.000)
Pb (0.245, 0.490, 0.588)
Pb (0.000, 0.000, 0.500)
Pb (0.755, 0.510, 0.412)
Pb (0.311, 0.622, 0.990)
Pb (0.689, 0.378, 0.010)


14.
Density functional theory data (PBE) for crystalline NaTl3Pb at its relaxed geometry.

Output
M_tot: 0.000 μB per atom
ΔE_f: 0.26 eV per atom
SG: Pm-3m, No. 221

Lattice parameters (Å, degrees): 6.093 6.093 6.093 90.00 90.00 90.00
Fractional positions:
Tl (0.000, 0.000, 0.500)
Tl (0.000, 0.500, 0.000)
Tl (0.500, 0.000, 0.000)
Na (0.500, 0.500, 0.500)
Pb (0.000, 0.000, 0.000)


15.
Density functional theory data (PBE) for crystalline Na4Tl2Pb at its relaxed geometry.

Output
M_tot: 0.000 μB per atom
ΔE_f: -0.11 eV per atom
SG: P1, No. 1

Lattice parameters (Å, degrees): 6.421 10.100 9.106 118.03 89.59 122.27
Fractional positions:
Tl (0.456, 0.564, 0.823)
Tl (0.661, 0.375, 0.249)
Tl (0.865, 0.188, 0.679)
Tl (0.663, 0.875, 0.251)
Na (0.208, 0.421, 0.099)
Na (0.567, 0.975, 0.929)
Na (0.938, 0.566, 0.692)
Na (0.369, 0.103, 0.408)
Na (0.754, 0.774, 0.570)
Na (0.380, 0.184, 0.806)
Na (0.955, 0.645, 0.089)
Na (0.115, 0.330, 0.403)
Pb (0.251, 0.763, 0.476)
Pb (0.069, 0.987, 0.024)


16.
Density functional theory data (PBE) for crystalline Na2TlPb8 at its relaxed geometry.

Output
M_tot: 0.000 μB per atom
ΔE_f: 0.05 eV per atom
SG: C2/m, No. 12

Lattice parameters (Å, degrees): 5.854 8.371 8.371 68.94 79.86 79.86
Fractional positions:
Pb (0.328, 0.379, 0.379)
Pb (0.217, 0.780, 0.356)
Pb (0.075, 0.753, 0.753)
Pb (0.925, 0.247, 0.247)
Pb (0.783, 0.644, 0.220)
Pb (0.783, 0.220, 0.644)
Pb (0.217, 0.356, 0.780)
Pb (0.672, 0.621, 0.621)
Na (0.482, 0.133, 0.133)
Na (0.518, 0.867, 0.867)
Tl (0.000, 0.000, 0.000)


17.
Density functional theory data (PBE) for crystalline NaTlPb at its relaxed geometry.

Output
M_tot: 0.000 μB per atom
ΔE_f: -0.12 eV per atom
SG: P-1, No. 2

Lattice parameters (Å, degrees): 5.900 4.870 6.957 89.59 105.73 66.20
Fractional positions:
Pb (0.500, 0.000, 0.500)
Pb (0.500, 0.000, 0.000)
Tl (0.827, 0.336, 0.822)
Tl (0.173, 0.664, 0.178)
Na (0.170, 0.665, 0.675)
Na (0.830, 0.335, 0.325)


18.
Density functional theory data (PBE) for crystalline NaTl3Pb at its relaxed geometry.

Output
M_tot: 0.000 μB per atom
ΔE_f: 0.33 eV per atom
SG: Pm-3m, No. 221

Lattice parameters (Å, degrees): 5.569 5.569 5.569 90.00 90.00 90.00
Fractional positions:
Tl (0.000, 0.000, 0.500)
Tl (0.500, 0.000, 0.000)
Tl (0.000, 0.500, 0.000)
Pb (0.500, 0.500, 0.500)
Na (0.000, 0.000, 0.000)


19.
Density functional theory data (PBE) for crystalline Na5TlPb2 at its relaxed geometry.

Output
M_tot: 0.000 μB per atom
ΔE_f: -0.08 eV per atom
SG: I4/mcm, No. 140

Lattice parameters (Å, degrees): 8.773 8.773 8.874 119.62 119.62 90.00
Fractional positions:
Pb (0.635, 0.135, 0.000)
Pb (0.135, 0.365, 0.000)
Pb (0.365, 0.865, 0.000)
Pb (0.865, 0.635, 0.000)
Na (0.000, 0.000, 0.000)
Na (0.999, 0.499, 0.316)
Na (0.500, 0.500, 0.000)
Na (0.817, 0.999, 0.316)
Na (0.317, 0.817, 0.316)
Na (0.499, 0.317, 0.316)
Na (0.683, 0.183, 0.684)
Na (0.183, 0.001, 0.684)
Na (0.501, 0.683, 0.684)
Na (0.001, 0.501, 0.684)
Tl (0.250, 0.250, 0.500)
Tl (0.750, 0.750, 0.500)


20.
Density functional theory data (PBE) for crystalline NaTl3Pb at its relaxed geometry.

Output
M_tot: 0.000 μB per atom
ΔE_f: -0.06 eV per atom
SG: P2_1/m, No. 11

Lattice parameters (Å, degrees): 5.674 6.227 8.818 74.38 90.00 90.00
Fractional positions:
Tl (0.750, 0.557, 0.678)
Tl (0.750, 0.357, 0.073)
Tl (0.250, 0.643, 0.927)
Tl (0.250, 0.443, 0.322)
Tl (0.250, 0.244, 0.723)
Tl (0.750, 0.756, 0.277)
Na (0.250, 0.048, 0.126)
Na (0.750, 0.952, 0.874)
Pb (0.250, 0.843, 0.525)
Pb (0.750, 0.157, 0.475)


21.
Density functional theory data (PBE) for crystalline Na3Tl4Pb3 at its relaxed geometry.

Output
M_tot: 0.000 μB per atom
ΔE_f: -0.03 eV per atom
SG: Amm2, No. 38

Lattice parameters (Å, degrees): 4.069 8.652 8.652 90.26 90.00 90.00
Fractional positions:
Na (0.500, 0.674, 0.664)
Na (0.500, 0.832, 0.168)
Na (0.500, 0.336, 0.326)
Tl (0.000, 0.636, 0.364)
Tl (0.000, 0.860, 0.874)
Tl (0.000, 0.126, 0.140)
Tl (0.000, 0.376, 0.624)
Pb (0.000, 0.484, 0.995)
Pb (0.000, 0.005, 0.516)
Pb (0.500, 0.172, 0.828)